1.
Compound: Ac2NdSm4
Source: Alexandria
Functional: PBE
Structure: relaxed

Computed properties:
DOS at the Fermi energy	1.478	states/eV/atom
energy	-4.464	eV/atom
energy relative to the lowest polymorph listed for this composition	0.0	meV/atom
formation enthalpy at 0 K	0.088	eV/atom
total magnetic moment	0.0	μB per formula unit

```
data_Ac2NdSm4
_chemical_formula_sum 'Ac4 Nd2 Sm8'
_cell_length_a 6.838
_cell_length_b 8.802
_cell_length_c 9.237
_cell_angle_alpha 88.11
_cell_angle_beta 82.93
_cell_angle_gamma 71.16
_symmetry_space_group_name_H-M 'P 1'
_symmetry_Int_Tables_number 1
loop_
_symmetry_equiv_pos_as_xyz
'x,y,z'
loop_
_atom_site_label
_atom_site_fract_x
_atom_site_fract_y
_atom_site_fract_z
Ac1 0.000 0.000 0.000
Ac2 0.200 0.434 0.548
Ac3 0.421 0.631 0.800
Ac4 0.676 0.538 0.359
Nd1 0.143 0.212 0.264
Nd2 0.841 0.798 0.703
Sm1 0.143 0.641 0.198
Sm2 0.217 0.880 0.464
Sm3 0.368 0.082 0.744
Sm4 0.516 0.287 0.038
Sm5 0.550 0.856 0.077
Sm6 0.676 0.030 0.373
Sm7 0.815 0.218 0.663
Sm8 0.961 0.447 0.941
```



2.
Compound: Nd2BiAu4
Source: Alexandria
Functional: PBE
Structure: relaxed

Computed properties:
DOS at the Fermi energy	0.626	states/eV/atom
energy	-4.342	eV/atom
formation enthalpy at 0 K	-0.552	eV/atom
total magnetic moment	0.0	μB per formula unit

```
data_Nd2BiAu4
_chemical_formula_sum 'Nd6 Bi3 Au12'
_cell_length_a 4.9550
_cell_length_b 4.9550
_cell_length_c 26.2083
_cell_angle_alpha 90.00
_cell_angle_beta 90.00
_cell_angle_gamma 120.00
_symmetry_space_group_name_H-M 'R -3 m'
_symmetry_Int_Tables_number 166
_symmetry_space_group_name_Hall '-R 3 2"'
loop_
_atom_site_label
_atom_site_fract_x
_atom_site_fract_y
_atom_site_fract_z
Nd1 0.0000 0.0000 0.2479
Bi1 0.0000 0.0000 0.0000
Au1 0.0000 0.0000 0.1334
Au2 0.0000 0.0000 0.3781
```



3.
Compound: Pr3Al2In4
Source: Alexandria
Functional: PBE
Structure: relaxed

Computed properties:
DOS at the Fermi energy	0.528	states/eV/atom
energy	-4.100	eV/atom
formation enthalpy at 0 K	-0.458	eV/atom
total magnetic moment	0.0	μB per formula unit

```
data_Pr3Al2In4
_chemical_formula_sum 'Pr6 Al4 In8'
_cell_length_a 11.402
_cell_length_b 4.858
_cell_length_c 9.219
_cell_angle_alpha 90.00
_cell_angle_beta 113.33
_cell_angle_gamma 90.00
_symmetry_space_group_name_H-M 'C 1 2/m 1'
_symmetry_Int_Tables_number 12
loop_
_symmetry_equiv_pos_as_xyz
'x,y,z'
'-x,-y,-z'
'-x,y,-z'
'x,-y,z'
'x+1/2,y+1/2,z'
'-x+1/2,-y+1/2,-z'
'-x+1/2,y+1/2,-z'
'x+1/2,-y+1/2,z'
loop_
_atom_site_label
_atom_site_fract_x
_atom_site_fract_y
_atom_site_fract_z
Pr1 0.000 0.000 0.000
Pr2 0.166 0.500 0.667
Al1 0.105 0.500 0.276
In1 0.067 0.000 0.395
In2 0.206 0.500 0.048
```